[1]
Density functional theory data (PBE) for a relaxed structure of GaSnAu2.

The structure belongs to space group Pmmn (No. 59, origin choice 2); the cell edges are 4.258, 5.745 and 7.077 Å and the angles 90.00°, 90.00° and 90.00°. The inequivalent atoms are Ga at (0.250, 0.250, 0.092), Sn at (0.250, 0.750, 0.408) and Au at (0.250, 0.504, 0.771).

As for the energy relative to the elements: -0.185 eV per atom. As for the energy above the most stable polymorph in this dataset: 0.0 meV per atom.

[2]
Density functional theory data (PBE) for a relaxed structure of Mg2TlRu.

The structure belongs to space group Immm (No. 71); the cell edges are 3.405, 4.622 and 9.537 Å and the angles 90.00°, 90.00° and 90.00°. The inequivalent atoms are Mg at (0.000, 0.000, 0.224), Tl at (0.000, 0.500, 0.000) and Ru at (0.000, 0.500, 0.500).

As for the energy relative to the elements: 0.083 eV per atom. As for the energy above the most stable polymorph in this dataset: 30.5 meV per atom.

[3]
Density functional theory data (PBE) for a relaxed structure of LaTe2P.

The structure belongs to space group P4mm (No. 99); the cell edges are 4.309, 4.309 and 6.505 Å and the angles 90.00°, 90.00° and 90.00°. The inequivalent atoms are La at (0.000, 0.000, 0.000), Te at (0.000, 0.000, 0.491), Te at (0.500, 0.500, 0.701) and P at (0.500, 0.500, 0.089).

For the formation energy from raw total energies, the calculation gives -608 meV/atom.

[4]
Density functional theory data (PBE) for a relaxed structure of HfHgP2Cl.

The structure belongs to space group P4/mmm (No. 123); the cell edges are 5.063, 5.063 and 4.965 Å and the angles 90.00°, 90.00° and 90.00°. The inequivalent atoms are Hf at (0.000, 0.000, 0.000), Hg at (0.500, 0.500, 0.500), P at (0.000, 0.500, 0.000) and Cl at (0.000, 0.000, 0.500).

For the formation energy from raw total energies, the calculation gives -121 meV/atom. As for the energy above the most stable polymorph in this dataset: 0.0 meV per atom.

[5]
Density functional theory data (PBE) for a relaxed structure of Rb3Cd8In3.

The structure belongs to space group Immm (No. 71); the cell edges are 5.330, 10.423 and 15.438 Å and the angles 90.00°, 90.00° and 90.00°. The inequivalent atoms are Rb at (0.000, 0.000, 0.000), Rb at (0.000, 0.000, 0.293), Cd at (0.000, 0.291, 0.140), Cd at (0.000, 0.353, 0.336), In at (0.000, 0.185, 0.500) and In at (0.000, 0.500, 0.000).

As for the energy relative to the elements: -0.057 eV per atom.

[6]
Density functional theory data (PBE) for a relaxed structure of Na2Li2Bi2Pb.

The structure belongs to space group P-3m1 (No. 164); the cell edges are 3.5098, 3.5098 and 18.6657 Å and the angles 90.00°, 90.00° and 120.00°. The inequivalent atoms are Na at (0.0000, 0.0000, 0.1711), Li at (0.3333, 0.6667, 0.4333), Bi at (0.3333, 0.6667, 0.6851) and Pb at (0.0000, 0.0000, 0.0000).

As for the energy relative to the elements: -0.141 eV per atom.

[7]
Density functional theory data (PBE) for a relaxed structure of KTlCd2Pb.

The structure belongs to space group Imm2 (No. 44); the cell edges are 4.959, 5.044 and 13.058 Å and the angles 90.00°, 90.00° and 90.00°. The inequivalent atoms are K at (0.000, 0.000, 0.000), Tl at (0.000, 0.000, 0.391), Cd at (0.000, 0.000, 0.616), Cd at (0.000, 0.500, 0.248) and Pb at (0.000, 0.500, 0.744).

As for the energy relative to the elements: -0.066 eV per atom.

[8]
Density functional theory data (PBE) for a relaxed structure of RbLi2I2.

The structure belongs to space group I4/mmm (No. 139); the cell edges are 4.734, 4.734 and 22.883 Å and the angles 90.00°, 90.00° and 90.00°. The inequivalent atoms are Rb at (0.000, 0.000, 0.000), Li at (0.000, 0.500, 0.250) and I at (0.000, 0.000, 0.315).

For the formation energy from raw total energies, the calculation gives -906 meV/atom.

[9]
Density functional theory data (PBE) for a relaxed structure of BaEr2H.

The structure belongs to space group R-3m (No. 166, hexagonal axes); the cell edges are 3.5944, 3.5944 and 29.4834 Å and the angles 90.00°, 90.00° and 120.00°. The inequivalent atoms are Ba at (0.0000, 0.0000, 0.0000), Er at (0.0000, 0.0000, 0.1229) and H at (0.0000, 0.0000, 0.5000).

Its uncorrected energy is -3.561 eV per atom.

[10]
Density functional theory data (PBE) for a relaxed structure of RbNb4Se8.

The structure belongs to space group F-43m (No. 216); the cell edges are 10.973, 10.973 and 10.973 Å and the angles 90.00°, 90.00° and 90.00°. The inequivalent atoms are Rb at (0.000, 0.000, 0.000), Nb at (0.106, 0.106, 0.606), Se at (0.129, 0.129, 0.371) and Se at (0.151, 0.151, 0.849).

For the formation energy from raw total energies, the calculation gives -640 meV/atom. As for the energy above the most stable polymorph in this dataset: 193.3 meV per atom.

[11]
Density functional theory data (PBE) for a relaxed structure of Ho3Mg2Pb4.

The structure belongs to space group P-1 (No. 2); the cell edges are 4.692, 7.051 and 8.389 Å and the angles 110.76°, 106.22° and 90.02°. The inequivalent atoms are Ho at (0.000, 0.000, 0.000), Ho at (0.124, 0.614, 0.247), Mg at (0.329, 0.999, 0.660), Pb at (0.222, 0.276, 0.443) and Pb at (0.480, 0.699, 0.960).

As for the energy relative to the elements: -0.355 eV per atom.

[12]
Density functional theory data (PBE) for a relaxed structure of YAgH8Ir2.

The structure belongs to space group C2/m (No. 12); the cell edges are 8.703, 4.380 and 5.968 Å and the angles 90.00°, 112.06° and 90.00°. The inequivalent atoms are Y at (0.000, 0.000, 0.000), Ag at (0.000, 0.500, 0.500), H at (0.082, 0.500, 0.142), H at (0.182, 0.248, 0.836), H at (0.233, 0.000, 0.382) and Ir at (0.222, 0.000, 0.662).

Its uncorrected energy is -4.605 eV per atom.

[13]
Density functional theory data (PBE) for a relaxed structure of SrY2Sb.

The structure belongs to space group P4/mmm (No. 123); the cell edges are 3.920, 3.920 and 9.023 Å and the angles 90.00°, 90.00° and 90.00°. The inequivalent atoms are Sr at (0.000, 0.000, 0.000), Y at (0.500, 0.500, 0.317) and Sb at (0.000, 0.000, 0.500).

For the formation energy from raw total energies, the calculation gives -365 meV/atom.

[14]
Density functional theory data (PBE) for a relaxed structure of AlRe2SiPt.

The structure belongs to space group P4/mmm (No. 123); the cell edges are 4.517, 4.517 and 4.348 Å and the angles 90.00°, 90.00° and 90.00°. The inequivalent atoms are Al at (0.000, 0.000, 0.000), Re at (0.000, 0.500, 0.000), Si at (0.500, 0.500, 0.500) and Pt at (0.000, 0.000, 0.500).

For the formation energy from raw total energies, the calculation gives 1549 meV/atom.

[15]
Density functional theory data (PBE) for a relaxed structure of BaHf2BeC.

The structure belongs to space group P4/mmm (No. 123); the cell edges are 4.504, 4.504 and 5.559 Å and the angles 90.00°, 90.00° and 90.00°. The inequivalent atoms are Ba at (0.000, 0.000, 0.000), Hf at (0.000, 0.500, 0.500), Be at (0.500, 0.500, 0.000) and C at (0.000, 0.000, 0.500).

As for the energy relative to the elements: 0.566 eV per atom.

[16]
Density functional theory data (PBE) for a relaxed structure of Sr2SmPt9.

The structure belongs to space group R-3m (No. 166, hexagonal axes); the cell edges are 5.4729, 5.4729 and 27.0468 Å and the angles 90.00°, 90.00° and 120.00°. The inequivalent atoms are Sr at (0.0000, 0.0000, 0.1416), Sm at (0.0000, 0.0000, 0.0000), Pt at (0.0000, 0.0000, 0.3327), Pt at (0.0000, 0.0000, 0.5000) and Pt at (0.0016, 0.5008, 0.9176).

As for the energy relative to the elements: -0.774 eV per atom.

[17]
Density functional theory data (PBE) for a relaxed structure of TaReRh2W.

The structure belongs to space group P4/mmm (No. 123); the cell edges are 4.598, 4.598 and 4.777 Å and the angles 90.00°, 90.00° and 90.00°. The inequivalent atoms are Ta at (0.000, 0.000, 0.000), Re at (0.000, 0.000, 0.500), Rh at (0.000, 0.500, 0.000) and W at (0.500, 0.500, 0.500).

As for the energy relative to the elements: 1.869 eV per atom.

[18]
Density functional theory data (PBE) for a relaxed structure of Nd3Ho2Tm3.

The structure belongs to space group Immm (No. 71); the cell edges are 5.923, 5.931 and 14.735 Å and the angles 90.00°, 90.00° and 90.00°. The inequivalent atoms are Nd at (0.000, 0.000, 0.000), Nd at (0.000, 0.500, 0.129), Ho at (0.000, 0.000, 0.252), Tm at (0.000, 0.000, 0.500) and Tm at (0.000, 0.500, 0.376).

As for the energy relative to the elements: 0.128 eV per atom. As for the energy above the most stable polymorph in this dataset: 0.0 meV per atom.

[19]
Density functional theory data (PBE) for a relaxed structure of BaSrPb2O.

The structure belongs to space group P4/mmm (No. 123); the cell edges are 6.715, 6.715 and 4.515 Å and the angles 90.00°, 90.00° and 90.00°. The inequivalent atoms are Ba at (0.000, 0.000, 0.000), Sr at (0.500, 0.500, 0.500), Pb at (0.000, 0.500, 0.000) and O at (0.000, 0.000, 0.500).

For the formation energy from raw total energies, the calculation gives -201 meV/atom.

[20]
Density functional theory data (PBE) for a relaxed structure of K2TbGeO4.

The structure belongs to space group I-4 (No. 82); the cell edges are 5.898, 5.898 and 9.152 Å and the angles 90.00°, 90.00° and 90.00°. The inequivalent atoms are K at (0.000, 0.000, 0.000), K at (0.000, 0.500, 0.250), Tb at (0.000, 0.000, 0.500), Ge at (0.000, 0.500, 0.750) and O at (0.131, 0.726, 0.637).

For the formation energy from raw total energies, the calculation gives -1988 meV/atom.

Magnetization list, top to bottom, in μB/f.u.: 0.0 0.0 0.0 0.0 0.0 0.0 0.0 0.0 0.0 0.0 0.0 0.0 0.0 0.0 0.0 0.0 1.8 0.0 0.0 0.0